# Ba3Pd5Cl12 (GGA-PBE, optimized geometry)
data_Ba3Pd5Cl12
_symmetry_space_group_name_H-M 'I a -3 d'
_symmetry_Int_Tables_number 230
_symmetry_space_group_name_Hall '-I 4bd 2c 3'
_cell_length_a 16.3246
_cell_length_b 16.3246
_cell_length_c 16.3246
_cell_angle_alpha 90.00
_cell_angle_beta 90.00
_cell_angle_gamma 90.00
loop_
_atom_site_label
_atom_site_fract_x
_atom_site_fract_y
_atom_site_fract_z
_atom_site_occupancy
Ba1 0.0000 0.2500 0.1250 1
Pd1 0.0000 0.0000 0.0000 1
Pd2 0.0000 0.2500 0.3750 1
Cl1 0.0291 0.0519 0.6445 1
# Fermi-level density of states in states/eV/atom: 0.50
# Volume in Å³/atom: 27.19
# Crystal system: cubic
# Formation energy (no corrections) in eV per atom: -1.14
# Calculated density in g cm⁻³: 4.18